# 1
La7Sm3Er2, relaxed, DFT GGA-PBE; total energy = -56.957 eV per cell; offset from the most stable computed form = 0 meV/atom; SG = P2/m, No. 10; calculated volume = 35.0 Å³ per atom; total magnetization = 0.000 μB per cell; ΔE_f = 79 kJ/mol of formula units
1.0
3.589 0.000 0.000
0.000 6.516 0.805
0.000 2.531 18.289
La Sm Er
7 3 2
Cartesian
1.795 2.787 9.497
1.795 6.259 9.598
0.000 4.059 3.542
0.000 0.000 0.000
0.000 4.987 15.552
1.795 8.286 15.905
1.795 0.760 3.189
1.795 3.258 0.403
0.000 1.626 6.253
0.000 7.420 12.841
1.795 4.820 6.541
1.795 4.226 12.553

# 2
LaSmEr4, relaxed, DFT GGA-PBE; total energy = -26.196 eV per cell; offset from the most stable computed form = 254 meV/atom; SG = F-43m, No. 216; calculated volume = 34.4 Å³ per atom; total magnetization = 3.733 μB per cell; ΔE_f = 164 kJ/mol of formula units
1.0
6.636 0.000 0.000
3.318 5.747 0.000
3.318 1.916 5.418
La Sm Er
1 1 4
Cartesian
3.318 1.916 1.355
0.000 0.000 0.000
6.636 3.831 0.667
6.636 1.906 3.390
8.303 4.794 3.390
4.969 4.794 3.390

# 3
La6SmEr8, relaxed, DFT GGA-PBE; total energy = -69.018 eV per cell; SG = R-3, No. 148; calculated volume = 33.7 Å³ per atom; total magnetization = 0.000 μB per cell; ΔE_f = 171 kJ/mol of formula units
1.0
-7.596 -0.432 -4.945
-4.366 -7.900 -0.928
-7.834 -1.330 3.825
La Sm Er
6 1 8
Cartesian
-14.236 -8.517 0.139
-2.821 -2.069 -0.133
-5.206 -4.506 -1.110
-14.590 -5.156 -0.939
-16.976 -7.593 -1.916
-5.561 -1.145 -2.187
0.000 0.000 0.000
-7.644 -3.220 0.787
-9.114 -1.762 -1.986
-7.480 -6.646 0.324
-9.015 -5.163 -2.352
-10.782 -4.499 0.304
-12.317 -3.016 -2.372
-10.682 -7.900 -0.062
-12.152 -6.442 -2.836

# 4
La3Sm2Er8, relaxed, DFT GGA-PBE; total energy = -59.612 eV per cell; offset from the most stable computed form = 0 meV/atom; SG = C2/m, No. 12; calculated volume = 32.8 Å³ per atom; total magnetization = 0.000 μB per cell; ΔE_f = 107 kJ/mol of formula units
1.0
-2.950 4.093 -2.371
-5.774 -3.599 0.976
-3.614 0.411 11.761
La Sm Er
3 2 8
Cartesian
0.000 0.000 0.000
-3.166 1.127 -0.665
-9.172 -0.223 11.030
-7.997 1.044 5.203
-4.341 -0.139 5.162
-3.331 -1.202 2.071
-9.007 2.107 8.294
-7.032 -2.385 4.637
-5.306 3.290 5.728
-8.128 -1.324 7.832
-5.424 0.835 8.189
-6.914 0.070 2.176
-4.210 2.229 2.533

# 5
La4Sm5Er3, relaxed, DFT GGA-PBE; total energy = -54.476 eV per cell; SG = C2/m, No. 12; calculated volume = 35.0 Å³ per atom; total magnetization = 0.001 μB per cell; ΔE_f = 243 kJ/mol of formula units
1.0
6.021 0.000 0.000
3.010 7.783 -2.700
3.010 -0.907 9.265
La Sm Er
4 5 3
Cartesian
6.021 1.711 -0.073
3.010 -0.110 5.615
9.031 6.986 0.950
6.021 5.165 6.639
9.031 6.603 4.825
6.021 3.438 3.283
3.010 3.433 -0.181
9.031 3.443 6.746
3.010 0.273 1.740
6.021 5.137 0.638
3.010 3.438 3.283
6.021 1.739 5.927

# 6
La4SmEr2, relaxed, DFT GGA-PBE; total energy = -66.105 eV per cell; offset from the most stable computed form = 0 meV/atom; SG = Cc, No. 9; calculated volume = 35.0 Å³ per atom; total magnetization = 0.000 μB per cell; ΔE_f = 48 kJ/mol of formula units
1.0
12.258 -3.156 -1.570
-9.612 8.237 -1.572
0.026 0.049 6.898
Er Sm La
4 2 8
Cartesian
4.694 0.612 1.657
10.270 -2.030 -1.305
-7.537 7.277 2.143
-2.175 4.222 5.106
-1.290 4.209 1.738
4.202 1.380 5.187
7.085 -0.751 4.575
-4.685 5.349 1.126
-5.292 5.993 4.719
7.934 -0.929 1.272
-0.909 1.065 3.812
1.127 3.171 -0.878
1.963 2.765 2.570
1.379 -0.158 0.362

# 7
La3Sm3Er5, relaxed, DFT GGA-PBE; total energy = -43.436 eV per cell; SG = P-62m, No. 189; calculated volume = 39.9 Å³ per atom; total magnetization = 0.000 μB per cell; ΔE_f = 803 kJ/mol of formula units
1.0
5.404 0.000 0.000
0.000 9.679 0.000
0.000 -4.840 8.383
La Sm Er
3 3 5
Cartesian
2.702 3.102 5.373
2.702 -1.738 3.010
2.702 3.476 0.000
0.000 2.370 4.105
0.000 4.940 0.000
0.000 -2.470 4.278
2.702 0.000 5.588
2.702 4.840 2.794
2.702 1.361 2.357
2.702 -3.479 6.025
2.702 6.958 0.000

# 8
La3Sm3Er2, relaxed, DFT GGA-PBE; total energy = -37.853 eV per cell; SG = Immm, No. 71; calculated volume = 34.2 Å³ per atom; total magnetization = 0.000 μB per cell; ΔE_f = 20 kJ/mol of formula units
1.0
-0.834 -3.457 3.717
3.687 -3.036 -1.996
5.593 7.893 5.038
La Sm Er
3 3 2
Cartesian
3.208 -2.066 2.358
5.237 3.467 4.401
-0.417 -1.728 1.858
1.807 1.196 1.518
1.843 -1.518 -0.998
6.639 0.205 5.240
3.080 0.587 4.797
5.365 0.814 1.961

# 9
La7Sm2Er2, relaxed, DFT GGA-PBE; total energy = -51.791 eV per cell; offset from the most stable computed form = 23 meV/atom; SG = C2/m, No. 12; calculated volume = 35.5 Å³ per atom; total magnetization = 0.001 μB per cell; ΔE_f = 122 kJ/mol of formula units
1.0
-8.705 -1.901 -0.458
3.957 -4.072 -2.560
2.605 -6.897 5.025
La Sm Er
7 2 2
Cartesian
-2.771 -1.898 -0.426
3.877 -6.286 0.001
0.627 -10.972 2.433
-6.020 -6.584 2.007
-2.523 -5.446 0.971
0.000 0.000 0.000
0.379 -7.424 1.036
3.460 -9.280 1.577
-5.603 -3.591 0.431
-2.822 -8.958 2.314
0.678 -3.912 -0.306

# 10
La4SmEr5, relaxed, DFT GGA-PBE; total energy = -45.266 eV per cell; SG = C2/m, No. 12; calculated volume = 34.9 Å³ per atom; total magnetization = 0.000 μB per cell; ΔE_f = 191 kJ/mol of formula units
1.0
3.446 0.000 -0.788
-0.052 11.499 -0.226
0.188 0.128 8.755
La Sm Er
4 1 5
Cartesian
2.334 2.910 2.279
0.093 8.615 0.408
1.249 8.717 5.462
3.489 3.013 7.333
1.723 0.000 -0.394
0.615 10.985 2.689
0.630 6.304 2.756
2.953 5.323 4.985
1.697 5.750 -0.507
2.968 0.643 5.052

# 11
La2Sm2Er15, relaxed, DFT GGA-PBE; total energy = -82.485 eV per cell; SG = R-3m, No. 166; calculated volume = 33.3 Å³ per atom; total magnetization = 0.002 μB per cell; ΔE_f = 507 kJ/mol of formula units
1.0
-6.688 -4.731 2.906
4.335 -5.747 4.873
-1.054 3.674 7.808
La Sm Er
2 2 15
Cartesian
-2.999 -5.988 13.716
-0.409 -0.817 1.871
-2.266 -4.524 10.362
-1.142 -2.281 5.224
2.167 -2.874 2.436
-0.527 1.837 3.904
-3.344 -2.366 1.453
-2.777 1.104 6.309
-3.318 -5.042 3.507
2.687 -2.867 5.770
0.964 -5.437 4.271
0.593 0.793 6.910
-4.966 -2.161 4.405
0.833 -5.245 8.037
-1.752 -0.727 9.444
-4.454 -4.758 7.094
-4.241 -1.560 7.550
-1.656 -6.078 6.142
1.046 -2.047 8.493

# 12
LaSm2Er, relaxed, DFT GGA-PBE; total energy = -18.838 eV per cell; offset from the most stable computed form = 0 meV/atom; SG = Cm, No. 8; calculated volume = 33.8 Å³ per atom; total magnetization = 0.000 μB per cell; ΔE_f = 9 kJ/mol of formula units
1.0
3.630 0.001 0.000
1.816 3.143 0.000
1.816 1.049 11.850
La Sm Er
1 2 1
Cartesian
3.629 2.095 5.921
1.821 1.051 8.991
1.816 1.049 2.857
3.628 2.095 0.006

# 13
La2Sm8Er, relaxed, DFT GGA-PBE; total energy = -50.548 eV per cell; offset from the most stable computed form = 127 meV/atom; SG = C2/m, No. 12; calculated volume = 34.8 Å³ per atom; total magnetization = 0.001 μB per cell; ΔE_f = 157 kJ/mol of formula units
1.0
6.564 1.457 1.247
2.740 9.327 3.491
2.740 4.894 8.673
La Sm Er
2 8 1
Cartesian
3.762 3.391 2.900
8.281 12.288 10.510
7.321 5.947 7.212
4.722 7.631 8.653
6.734 4.657 3.983
5.309 11.021 9.427
7.321 8.047 4.757
4.722 9.732 6.198
4.001 6.237 5.334
8.043 9.442 8.076
0.000 0.000 0.000

# 14
La4Sm3Er5, relaxed, DFT GGA-PBE; total energy = -54.087 eV per cell; SG = C2/m, No. 12; calculated volume = 34.5 Å³ per atom; total magnetization = 0.383 μB per cell; ΔE_f = 250 kJ/mol of formula units
1.0
-0.610 -5.785 1.574
6.567 -2.437 5.122
-7.834 -0.784 5.621
La Sm Er
4 3 5
Cartesian
0.581 -5.581 2.783
-4.634 -1.587 3.907
2.757 -7.418 8.410
-2.458 -3.424 9.535
2.249 -4.936 5.801
-0.634 -1.610 5.371
-4.126 -4.069 6.516
-0.526 -6.574 10.241
-0.939 -4.503 6.159
1.918 -2.406 3.437
-3.795 -6.600 8.881
-1.351 -2.431 2.076

# 15
La2SmEr, relaxed, DFT GGA-PBE; total energy = -19.042 eV per cell; offset from the most stable computed form = 11 meV/atom; SG = P4/mmm, No. 123; calculated volume = 34.6 Å³ per atom; total magnetization = 0.001 μB per cell; ΔE_f = 9 kJ/mol of formula units
1.0
3.703 0.000 0.000
0.000 3.703 0.000
0.000 0.000 10.086
La Sm Er
2 1 1
Cartesian
0.000 0.000 7.608
0.000 0.000 2.478
1.851 1.851 5.043
1.851 1.851 0.000

# 16
La7SmEr12, relaxed, DFT GGA-PBE; total energy = -81.415 eV per cell; SG = Im-3m, No. 229; calculated volume = 36.3 Å³ per atom; total magnetization = 0.000 μB per cell; ΔE_f = 1211 kJ/mol of formula units
1.0
-0.192 -4.288 8.813
-6.693 7.156 -0.299
-2.016 -6.650 -6.915
La Sm Er
7 1 12
Cartesian
-1.104 -5.469 0.949
-3.443 1.434 4.257
-4.355 0.253 -3.607
-4.451 -1.891 0.800
-3.347 3.578 -0.149
-1.008 -3.325 -3.457
-0.096 -2.144 4.407
0.000 0.000 0.000
-6.198 -1.196 2.915
-3.817 -8.102 -0.358
-2.703 -2.586 -1.315
-5.085 4.320 1.958
-3.176 -3.232 -5.274
-6.648 -1.785 -0.980
-5.725 -0.551 6.874
-2.253 -1.997 2.581
-5.038 -4.618 1.280
-3.863 0.835 0.320
-8.255 1.091 -3.318
-0.647 -4.873 4.918

# 17
La5Sm5Er, relaxed, DFT GGA-PBE; total energy = -50.240 eV per cell; SG = C2/m, No. 12; calculated volume = 35.8 Å³ per atom; total magnetization = 0.000 μB per cell; ΔE_f = 247 kJ/mol of formula units
1.0
-5.150 2.297 -2.457
-1.627 -1.297 9.894
3.329 6.199 -1.182
La Sm Er
5 5 1
Cartesian
-5.078 1.492 4.339
-3.369 4.668 3.725
-2.575 1.148 -1.229
-0.079 2.531 2.530
1.631 5.706 1.916
-3.425 2.150 1.489
-1.533 4.984 0.172
1.664 3.100 -0.591
-1.915 2.215 6.083
-0.023 5.048 4.766
0.000 0.000 0.000

# 18
La11Sm4Er9, relaxed, DFT GGA-PBE; total energy = -112.478 eV per cell; SG = Cmmm, No. 65; calculated volume = 34.4 Å³ per atom; total magnetization = 0.000 μB per cell; ΔE_f = 161 kJ/mol of formula units
1.0
3.726 0.000 0.000
0.000 14.279 -6.096
0.000 0.006 15.526
La Sm Er
11 4 9
Cartesian
0.000 8.484 11.221
0.000 5.801 -1.791
0.000 13.652 3.391
0.000 0.632 6.038
0.000 9.035 1.848
0.000 5.250 7.581
0.000 12.006 -2.653
0.000 2.278 12.083
0.000 0.000 0.000
0.000 10.130 6.687
0.000 4.155 2.743
1.863 7.933 8.366
1.863 6.352 1.064
1.863 10.811 4.007
1.863 3.474 5.423
1.863 9.043 -1.294
1.863 5.242 10.724
1.863 2.364 8.824
1.863 11.921 0.606
1.863 11.252 9.689
1.863 3.033 -0.259
1.863 13.331 6.539
1.863 0.954 2.890
1.863 7.142 4.715

# 19
LaSm2Er3, relaxed, DFT GGA-PBE; total energy = -55.228 eV per cell; offset from the most stable computed form = 0 meV/atom; SG = C2/c, No. 15; calculated volume = 32.7 Å³ per atom; total magnetization = 0.000 μB per cell; ΔE_f = 42 kJ/mol of formula units
1.0
-3.158 2.742 5.210
-0.030 -6.212 2.461
8.410 2.222 2.335
La Sm Er
2 4 6
Cartesian
1.797 -4.868 3.286
3.424 3.621 6.719
-1.694 0.320 5.744
1.174 1.721 4.445
6.915 -1.567 4.261
4.048 -2.968 5.561
3.662 -0.518 2.847
-2.115 -3.358 5.525
1.560 -0.730 7.158
7.336 2.110 4.480
0.752 -1.876 4.205
4.470 0.628 5.800

# 20
La8Sm6Er, relaxed, DFT GGA-PBE; total energy = -70.041 eV per cell; SG = P-3, No. 147; calculated volume = 35.5 Å³ per atom; total magnetization = 0.001 μB per cell; ΔE_f = 218 kJ/mol of formula units
1.0
-0.504 3.533 5.733
-7.650 4.527 -3.463
-1.072 -8.112 4.905
La Sm Er
8 6 1
Cartesian
-1.012 0.771 6.070
-6.665 0.097 5.988
-3.380 -3.727 8.633
-8.215 -0.824 1.105
-2.562 -0.150 1.187
-5.847 3.675 -1.459
-3.711 -0.775 7.186
-5.516 0.722 -0.011
-5.474 4.545 1.900
-7.887 1.806 3.376
-3.998 1.496 3.908
-3.753 -4.597 5.275
-1.340 -1.858 3.799
-5.229 -1.549 3.266
-0.252 1.766 2.866